(1)
This record from Alexandria via LeMat-Bulk describes Ho2TlPd8 after structural relaxation. The functional is PBE.

Cell: 4.212 6.598 7.667 Å, 105.96 105.94 90.00°
Atoms (fractional coordinates):
1 Pd 0.592 0.451 0.184
2 Pd 0.964 0.278 0.927
3 Pd 0.327 0.094 0.654
4 Pd 0.673 0.906 0.346
5 Pd 0.408 0.549 0.816
6 Pd 0.854 0.809 0.707
7 Pd 0.146 0.191 0.293
8 Pd 0.036 0.722 0.073
9 Ho 0.216 0.666 0.432
10 Ho 0.784 0.334 0.568
11 Tl 0.500 0.000 0.000

Output
- space-group type = C2/m (12)
- crystal system = monoclinic
- theoretical density (g/cm³) = 11.72
- energy relative to the elements (eV/atom) = -0.562
- VASP energy (eV per atom) = -5.39
- spin magnetization (μB/cell) = 0.00

***

(2)
This record from Alexandria via LeMat-Bulk describes Ho5Tl2Pd2 after structural relaxation. The functional is PBE.

Cell: 7.224 8.535 8.822 Å, 118.93 90.00 90.00°
Atoms (fractional coordinates):
1 Tl 0.500 0.288 0.577
2 Tl 0.000 0.788 0.577
3 Tl 0.000 0.212 0.423
4 Tl 0.500 0.712 0.423
5 Ho 0.346 0.942 0.245
6 Ho 0.846 0.558 0.755
7 Ho 0.000 0.000 0.000
8 Ho 0.154 0.442 0.245
9 Ho 0.654 0.058 0.755
10 Ho 0.846 0.803 0.245
11 Ho 0.346 0.697 0.755
12 Ho 0.500 0.500 0.000
13 Ho 0.154 0.197 0.755
14 Ho 0.654 0.303 0.245
15 Pd 0.136 0.622 0.000
16 Pd 0.636 0.878 0.000
17 Pd 0.364 0.122 0.000
18 Pd 0.864 0.378 0.000

Output
- space-group type = Cmce (64)
- crystal system = orthorhombic
- theoretical density (g/cm³) = 10.09
- energy relative to the elements (eV/atom) = -0.539
- VASP energy (eV per atom) = -4.76
- spin magnetization (μB/cell) = 0.00

***

(3)
This record from Alexandria via LeMat-Bulk describes HoTlPd6 after structural relaxation. The functional is PBE.

Cell: 5.490 5.490 5.490 Å, 84.37 84.37 84.37°
Atoms (fractional coordinates):
1 Ho 0.000 0.000 0.000
2 Pd 0.468 0.840 0.840
3 Pd 0.840 0.468 0.840
4 Pd 0.160 0.532 0.160
5 Pd 0.532 0.160 0.160
6 Pd 0.160 0.160 0.532
7 Pd 0.840 0.840 0.468
8 Tl 0.500 0.500 0.500

Output
- space-group type = R-3m (166)
- crystal system = trigonal
- theoretical density (g/cm³) = 10.25
- energy relative to the elements (eV/atom) = -0.097
- VASP energy (eV per atom) = -4.86
- spin magnetization (μB/cell) = 0.00

***

(4)
This record from Alexandria via LeMat-Bulk describes Ho2TlPd after structural relaxation. The functional is PBE.

Cell: 3.947 3.947 8.460 Å, 76.51 76.51 60.00°
Atoms (fractional coordinates):
1 Ho 0.068 0.068 0.797
2 Ho 0.266 0.266 0.201
3 Pd 0.666 0.666 0.002
4 Tl 0.500 0.500 0.500

Output
- space-group type = R3m (160)
- crystal system = trigonal
- theoretical density (g/cm³) = 9.68
- energy relative to the elements (eV/atom) = -0.480
- VASP energy (eV per atom) = -4.66
- spin magnetization (μB/cell) = 0.00

***

(5)
This record from Alexandria via LeMat-Bulk describes Ho6TlPd5 after structural relaxation. The functional is PBE.

Cell: 5.018 7.074 8.675 Å, 114.06 106.81 90.00°
Atoms (fractional coordinates):
1 Pd 0.668 0.668 0.335
2 Pd 0.332 0.332 0.665
3 Pd 0.658 0.158 0.316
4 Pd 0.000 0.500 0.000
5 Pd 0.342 0.842 0.684
6 Ho 0.828 0.084 0.655
7 Ho 0.172 0.429 0.345
8 Ho 0.500 0.264 0.000
9 Ho 0.500 0.736 0.000
10 Ho 0.828 0.571 0.655
11 Ho 0.172 0.916 0.345
12 Tl 0.000 0.000 0.000

Output
- space-group type = Immm (71)
- crystal system = orthorhombic
- theoretical density (g/cm³) = 10.75
- energy relative to the elements (eV/atom) = -0.788
- VASP energy (eV per atom) = -5.44
- spin magnetization (μB/cell) = 0.00

***

(6)
This record from Alexandria via LeMat-Bulk describes Ho4Tl2Pd after structural relaxation. The functional is PBE.

Cell: 3.729 9.166 8.511 Å, 134.90 90.00 90.00°
Atoms (fractional coordinates):
1 Ho 0.500 0.936 0.756
2 Ho 0.000 0.659 0.870
3 Ho 0.500 0.207 0.386
4 Ho 0.000 0.483 0.273
5 Tl 0.500 0.810 0.305
6 Tl 0.500 0.333 0.838
7 Pd 0.000 0.071 0.071

Output
- space-group type = P2/m (10)
- crystal system = monoclinic
- theoretical density (g/cm³) = 9.47
- energy relative to the elements (eV/atom) = -0.275
- VASP energy (eV per atom) = -4.31
- spin magnetization (μB/cell) = 0.00

***

(7)
This record from Alexandria via LeMat-Bulk describes Ho3TlPd12 after structural relaxation. The functional is PBE.

Cell: 4.111 4.111 16.404 Å, 90.00 90.00 90.00°
Atoms (fractional coordinates):
1 Pd 0.500 0.500 0.000
2 Pd 0.500 0.000 0.876
3 Pd 0.500 0.500 0.751
4 Pd 0.000 0.500 0.375
5 Pd 0.500 0.500 0.500
6 Pd 0.500 0.000 0.625
7 Pd 0.500 0.000 0.124
8 Pd 0.500 0.500 0.249
9 Pd 0.000 0.500 0.124
10 Pd 0.000 0.500 0.876
11 Pd 0.500 0.000 0.375
12 Pd 0.000 0.500 0.625
13 Ho 0.000 0.000 0.500
14 Ho 0.000 0.000 0.249
15 Ho 0.000 0.000 0.751
16 Tl 0.000 0.000 0.000

Output
- space-group type = P4/mmm (123)
- crystal system = tetragonal
- theoretical density (g/cm³) = 11.84
- energy relative to the elements (eV/atom) = -0.720
- VASP energy (eV per atom) = -5.62
- spin magnetization (μB/cell) = 0.00

***

(8)
This record from Alexandria via LeMat-Bulk describes Ho5Tl4Pd after structural relaxation. The functional is PBE.

Cell: 3.560 3.560 20.373 Å, 90.00 90.00 90.00°
Each line ends with the local moment (μB).
Atoms (fractional coordinates):
1 Tl 0.000 0.000 0.811  0.00
2 Tl 0.000 0.000 0.189  0.00
3 Tl 0.000 0.000 0.396  0.00
4 Tl 0.000 0.000 0.604  0.00
5 Ho 0.500 0.500 0.291  0.14
6 Ho 0.500 0.500 0.917  -0.01
7 Ho 0.500 0.500 0.083  -0.01
8 Ho 0.500 0.500 0.709  0.14
9 Ho 0.500 0.500 0.500  -0.15
10 Pd 0.000 0.000 0.000  0.00

Output
- space-group type = P4/mmm (123)
- crystal system = tetragonal
- theoretical density (g/cm³) = 11.24
- energy relative to the elements (eV/atom) = -0.458
- VASP energy (eV per atom) = -4.21
- spin magnetization (μB/cell) = 0.13

***

(9)
This record from Alexandria via LeMat-Bulk describes Ho6TlPd2 after structural relaxation. The functional is PBE.

Cell: 8.550 8.550 8.550 Å, 105.39 110.13 112.98°
Atoms (fractional coordinates):
1 Ho 0.799 0.237 0.036
2 Ho 0.527 0.710 0.817
3 Ho 0.893 0.710 0.183
4 Ho 0.300 0.628 0.327
5 Ho 0.201 0.763 0.964
6 Ho 0.700 0.372 0.673
7 Ho 0.201 0.237 0.438
8 Ho 0.799 0.763 0.562
9 Ho 0.700 0.027 0.327
10 Ho 0.107 0.290 0.817
11 Ho 0.473 0.290 0.183
12 Ho 0.300 0.973 0.673
13 Tl 0.000 0.500 0.500
14 Tl 0.000 0.000 0.000
15 Pd 0.347 0.000 0.347
16 Pd 0.653 0.000 0.653
17 Pd 0.500 0.367 0.867
18 Pd 0.500 0.633 0.133

Output
- space-group type = Immm (71)
- crystal system = orthorhombic
- theoretical density (g/cm³) = 9.75
- energy relative to the elements (eV/atom) = -0.519
- VASP energy (eV per atom) = -4.99
- spin magnetization (μB/cell) = 0.00

***

(10)
This record from Alexandria via LeMat-Bulk describes Ho4TlPd12 after structural relaxation. The functional is PBE.

Cell: 7.422 7.422 7.422 Å, 109.47 109.47 109.47°
Atoms (fractional coordinates):
1 Ho 0.500 0.000 0.000
2 Ho 0.000 0.500 0.000
3 Ho 0.500 0.500 0.500
4 Ho 0.000 0.000 0.500
5 Pd 0.000 0.696 0.696
6 Pd 0.696 0.696 0.000
7 Pd 0.500 0.250 0.750
8 Pd 0.750 0.250 0.500
9 Pd 0.000 0.304 0.304
10 Pd 0.696 0.000 0.696
11 Pd 0.304 0.000 0.304
12 Pd 0.500 0.750 0.250
13 Pd 0.304 0.304 0.000
14 Pd 0.250 0.750 0.500
15 Pd 0.750 0.500 0.250
16 Pd 0.250 0.500 0.750
17 Tl 0.000 0.000 0.000

Output
- space-group type = Im-3m (229)
- crystal system = cubic
- theoretical density (g/cm³) = 11.30
- energy relative to the elements (eV/atom) = -0.762
- VASP energy (eV per atom) = -5.64
- spin magnetization (μB/cell) = 0.00

***

(11)
This record from Alexandria via LeMat-Bulk describes HoTlZnPd after structural relaxation. The functional is PBE.

Cell: 4.848 4.848 4.848 Å, 60.00 60.00 60.00°
Atoms (fractional coordinates):
1 Tl 0.250 0.250 0.250
2 Ho 0.750 0.750 0.750
3 Zn 0.000 0.000 0.000
4 Pd 0.500 0.500 0.500

Output
- space-group type = F-43m (216)
- crystal system = cubic
- theoretical density (g/cm³) = 11.16
- energy relative to the elements (eV/atom) = -0.426
- VASP energy (eV per atom) = -3.78
- spin magnetization (μB/cell) = 0.00

***

(12)
This record from Alexandria via LeMat-Bulk describes HoZrTlPd after structural relaxation. The functional is PBE.

Cell: 5.032 5.032 5.032 Å, 60.00 60.00 60.00°
Each line ends with the local moment (μB).
Atoms (fractional coordinates):
1 Zr 0.250 0.250 0.250  0.21
2 Tl 0.000 0.000 0.000  0.00
3 Ho 0.750 0.750 0.750  0.09
4 Pd 0.500 0.500 0.500  0.02

Output
- space-group type = F-43m (216)
- crystal system = cubic
- theoretical density (g/cm³) = 10.45
- energy relative to the elements (eV/atom) = -0.336
- VASP energy (eV per atom) = -5.51
- spin magnetization (μB/cell) = 0.44